VASP calculation (PBE) on YIn2Co8 after structural relaxation.

Properties
- D(E_F): 15.830 states/eV per cell
- ΔH_f (0 K): 0.26 eV/atom
- DFT total energy: -65.9 eV for the cell shown

Cell lengths 3.609, 3.609, 12.431 Å; angles 90.00, 90.00, 90.00 degrees
Atoms (fractional coordinates):
Co 0.000 0.500 0.183
Co 0.500 0.000 0.183
Co 0.000 0.500 0.817
Co 0.500 0.000 0.817
Co 0.000 0.500 0.500
Co 0.500 0.000 0.500
Co 0.500 0.500 0.342
Co 0.500 0.500 0.658
In 0.000 0.000 0.342
In 0.000 0.000 0.658
Y 0.000 0.000 0.000


VASP calculation (PBE) on KTl3Se2 after structural relaxation.

Properties
- D(E_F): 0.394 states/eV per cell
- Energy relative to the lowest polymorph listed for this composition: 31 meV per atom
- Energy relative to the elements, uncorrected: -0.5185 eV per atom
- DFT total energy: -36.6 eV for the cell shown

Cell lengths 4.653, 8.693, 11.343 Å; angles 112.18, 90.00, 105.52 degrees
Atoms (fractional coordinates):
K 0.874 0.748 0.976
K 0.126 0.252 0.024
Tl 0.293 0.586 0.617
Tl 0.960 0.920 0.633
Tl 0.614 0.227 0.657
Tl 0.386 0.773 0.343
Tl 0.040 0.080 0.367
Tl 0.707 0.414 0.383
Se 0.474 0.949 0.812
Se 0.526 0.051 0.188
Se 0.781 0.561 0.195
Se 0.219 0.439 0.805